1.
First-principles (PBE) data for a geometry-optimized KScI2 structure, as listed in Alexandria.

The uncorrected formation energy comes out at -0.64 eV/atom. The value obtained for the energy above the most stable polymorph in this dataset is 16.23 kJ per mole of atoms.

The structure belongs to space group I-42d (No. 122); the cell edges are 7.616, 7.616 and 13.347 Å and the angles 90.00°, 90.00° and 90.00°. The inequivalent atoms are K at (0.000, 0.000, 0.000), Sc at (0.000, 0.000, 0.500) and I at (0.190, 0.250, 0.625).



2.
First-principles (PBE) data for a geometry-optimized KSbTe structure, as listed in Alexandria.

The uncorrected formation energy comes out at -0.12 eV/atom. The value obtained for the energy above the most stable polymorph in this dataset is 32.69 kJ per mole of atoms.

The structure belongs to space group I4mm (No. 107); the cell edges are 3.214, 3.214 and 19.577 Å and the angles 90.00°, 90.00° and 90.00°. The inequivalent atoms are K at (0.000, 0.000, 0.000), Sb at (0.000, 0.000, 0.649) and Te at (0.000, 0.000, 0.361).



3.
First-principles (PBE) data for a geometry-optimized VGaPS2 structure, as listed in Alexandria.

The uncorrected formation energy comes out at 0.86 eV/atom. The value obtained for the energy above the most stable polymorph in this dataset is 86.93 kJ per mole of atoms.

The structure belongs to space group P4/mmm (No. 123); the cell edges are 4.665, 4.665 and 4.559 Å and the angles 90.00°, 90.00° and 90.00°. The inequivalent atoms are V at (0.000, 0.000, 0.000), Ga at (0.500, 0.500, 0.500), P at (0.500, 0.500, 0.000) and S at (0.000, 0.500, 0.500).



4.
First-principles (PBE) data for a geometry-optimized Sr4Zn3In structure, as listed in Alexandria.

The calculation puts the formation energy at -5.6 kcal/mol of atoms.

The structure belongs to space group C2/m (No. 12); the cell edges are 7.956, 7.959 and 8.812 Å and the angles 90.00°, 116.70° and 90.00°. The inequivalent atoms are Sr at (0.123, 0.250, 0.246), Zn at (0.000, 0.000, 0.500), Zn at (0.248, 0.500, 0.996) and In at (0.000, 0.500, 0.500).



5.
First-principles (PBE) data for a geometry-optimized AuIBr2 structure, as listed in Alexandria.

The uncorrected formation energy comes out at 0.63 eV/atom. The value obtained for the energy above the most stable polymorph in this dataset is 66.80 kJ per mole of atoms.

The structure belongs to space group Fm-3m (No. 225); the cell edges are 7.560, 7.560 and 7.560 Å and the angles 90.00°, 90.00° and 90.00°. The inequivalent atoms are Au at (0.000, 0.000, 0.000), I at (0.000, 0.000, 0.500) and Br at (0.250, 0.250, 0.250).



6.
First-principles (PBE) data for a geometry-optimized TaZnBr2 structure, as listed in Alexandria.

The uncorrected formation energy comes out at 0.09 eV/atom. The value obtained for the energy above the most stable polymorph in this dataset is 26.00 kJ per mole of atoms.

The structure belongs to space group Cmmm (No. 65); the cell edges are 3.130, 6.127 and 10.997 Å and the angles 90.00°, 90.00° and 90.00°. The inequivalent atoms are Ta at (0.000, 0.000, 0.000), Zn at (0.000, 0.000, 0.500) and Br at (0.000, 0.500, 0.192).



7.
First-principles (PBE) data for a geometry-optimized Cd2SiAg structure, as listed in Alexandria.

The uncorrected formation energy comes out at 0.23 eV/atom.

The structure belongs to space group P2/m (No. 10); the cell edges are 3.176, 4.169 and 5.890 Å and the angles 90.00°, 90.55° and 90.00°. The inequivalent atoms are Cd at (0.001, 0.000, 0.251), Si at (0.500, 0.500, 0.500) and Ag at (0.500, 0.500, 0.000).



8.
First-principles (PBE) data for a geometry-optimized BaPbF4 structure, as listed in Alexandria.

The uncorrected formation energy comes out at -3.14 eV/atom.

The structure belongs to space group R-3m (No. 166, hexagonal axes); the cell edges are 4.3520, 4.3520 and 21.1188 Å and the angles 90.00°, 90.00° and 120.00°. The inequivalent atoms are Ba at (0.0000, 0.0000, 0.0000), Pb at (0.0000, 0.0000, 0.5000), F at (0.0000, 0.0000, 0.1288) and F at (0.0000, 0.0000, 0.3781).



9.
First-principles (PBE) data for a geometry-optimized RbGa2HgCl8 structure, as listed in Alexandria.

The uncorrected formation energy comes out at -1.15 eV/atom.

The structure belongs to space group R-3 (No. 148, hexagonal axes); the cell edges are 6.7365, 6.7365 and 29.0078 Å and the angles 90.00°, 90.00° and 120.00°. The inequivalent atoms are Rb at (0.0000, 0.0000, 0.0000), Ga at (0.0000, 0.0000, 0.2536), Hg at (0.0000, 0.0000, 0.5000), Cl at (0.0000, 0.0000, 0.3294) and Cl at (0.0053, 0.3758, 0.4372).



10.
First-principles (PBE) data for a geometry-optimized TaPdPtRh structure, as listed in Alexandria.

The calculation puts the formation energy at -13.7 kcal/mol of atoms.

The structure belongs to space group I-4m2 (No. 119); the cell edges are 3.984, 3.984 and 7.799 Å and the angles 90.00°, 90.00° and 90.00°. The inequivalent atoms are Ta at (0.000, 0.000, 0.000), Pd at (0.000, 0.000, 0.500), Pt at (0.000, 0.500, 0.750) and Rh at (0.000, 0.500, 0.250).



11.
First-principles (PBE) data for a geometry-optimized YSiSe2 structure, as listed in Alexandria.

The uncorrected formation energy comes out at -0.67 eV/atom. The value obtained for the energy above the most stable polymorph in this dataset is 26.55 kJ per mole of atoms.

The structure belongs to space group R3m (No. 160, hexagonal axes); the cell edges are 4.1073, 4.1073 and 22.8972 Å and the angles 90.00°, 90.00° and 120.00°. The inequivalent atoms are Y at (0.0000, 0.0000, 0.0000), Si at (0.0000, 0.0000, 0.7542), Se at (0.0000, 0.0000, 0.2704) and Se at (0.0000, 0.0000, 0.4575).



12.
First-principles (PBE) data for a geometry-optimized BaSi2W structure, as listed in Alexandria.

The uncorrected formation energy comes out at 0.17 eV/atom. The value obtained for the energy above the most stable polymorph in this dataset is 16.07 kJ per mole of atoms.

The structure belongs to space group Amm2 (No. 38); the cell edges are 3.614, 3.585 and 13.868 Å and the angles 90.00°, 90.00° and 90.00°. The inequivalent atoms are Ba at (0.000, 0.000, 0.000), Si at (0.000, 0.000, 0.758), Si at (0.500, 0.000, 0.643) and W at (0.500, 0.000, 0.279).



What did the sixth record say?
First-principles (PBE) data for a geometry-optimized TaZnBr2 structure, as listed in Alexandria.

The uncorrected formation energy comes out at 0.09 eV/atom. The value obtained for the energy above the most stable polymorph in this dataset is 26.00 kJ per mole of atoms.

The structure belongs to space group Cmmm (No. 65); the cell edges are 3.130, 6.127 and 10.997 Å and the angles 90.00°, 90.00° and 90.00°. The inequivalent atoms are Ta at (0.000, 0.000, 0.000), Zn at (0.000, 0.000, 0.500) and Br at (0.000, 0.500, 0.192).